[1]
{"formula": "Cs2TaS6", "functional": "GGA-PBE", "state": "optimized geometry", "lattice_angstrom": [[3.933, 4.335, 5.486], [-4.141, -6.497, 2.236], [3.929, -2.731, -0.659]], "species": ["S", "S", "S", "S", "S", "S", "Ta", "Cs", "Cs"], "frac_coords": [[0.279, 0.139, 0.798], [0.861, 0.721, 0.798], [0.139, 0.279, 0.202], [0.861, 0.139, 0.798], [0.139, 0.861, 0.202], [0.721, 0.861, 0.202], [0.000, 0.000, 0.500], [0.333, 0.667, 0.710], [0.667, 0.333, 0.290]], "crystal_system": "trigonal", "e_form_raw_kj_per_mol_atoms": -49.2}

---

[2]
{"formula": "Cs8TaS6", "functional": "GGA-PBE", "state": "optimized geometry", "lattice_angstrom": [[-4.934, -7.267, -3.772], [0.741, -4.763, 8.206], [-14.975, 7.274, 5.574]], "species": ["Cs", "Cs", "Cs", "Cs", "Cs", "Cs", "Cs", "Cs", "Cs", "Cs", "Cs", "Cs", "Cs", "Cs", "Cs", "Cs", "S", "S", "S", "S", "S", "S", "S", "S", "S", "S", "S", "S", "Ta", "Ta"], "frac_coords": [[0.965, 0.738, 0.625], [0.944, 0.705, 0.370], [0.056, 0.795, 0.870], [0.558, 0.000, 0.963], [0.446, 0.247, 0.718], [0.035, 0.238, 0.125], [0.442, 0.500, 0.463], [0.965, 0.262, 0.625], [0.446, 0.753, 0.718], [0.554, 0.253, 0.218], [0.709, 0.500, 0.018], [0.035, 0.762, 0.125], [0.554, 0.747, 0.218], [0.291, 0.000, 0.518], [0.056, 0.205, 0.870], [0.944, 0.295, 0.370], [0.641, 0.000, 0.355], [0.615, 0.199, 0.540], [0.889, 0.000, 0.004], [0.385, 0.301, 0.040], [0.111, 0.500, 0.504], [0.063, 0.500, 0.990], [0.804, 0.500, 0.216], [0.385, 0.699, 0.040], [0.196, 0.000, 0.716], [0.937, 0.000, 0.490], [0.359, 0.500, 0.855], [0.615, 0.801, 0.540], [0.302, 0.500, 0.982], [0.698, 0.000, 0.482]], "crystal_system": "orthorhombic", "e_form_raw_kj_per_mol_atoms": -100.6}

---

[3]
{"formula": "CsTa5S8", "functional": "GGA-PBE", "state": "optimized geometry", "lattice_angstrom": [[-2.431, -1.868, -1.464], [3.337, 2.312, -8.489], [5.493, -6.579, 3.212]], "species": ["Ta", "Ta", "Ta", "Ta", "Ta", "S", "S", "S", "S", "S", "S", "S", "S", "Cs"], "frac_coords": [[0.316, 0.002, 0.632], [0.712, 0.374, 0.423], [0.289, 0.636, 0.578], [0.673, 0.002, 0.345], [0.014, 0.996, 0.027], [0.248, 0.193, 0.497], [0.910, 0.148, 0.820], [0.849, 0.516, 0.697], [0.749, 0.813, 0.498], [0.091, 0.824, 0.181], [0.419, 0.850, 0.838], [0.583, 0.172, 0.166], [0.153, 0.498, 0.306], [0.495, 0.477, 0.990]], "crystal_system": "monoclinic", "e_form_raw_kj_per_mol_atoms": -99.4}

---

[4]
{"formula": "Cs3TaS4", "functional": "GGA-PBE", "state": "optimized geometry", "lattice_angstrom": [[10.070, 0.000, 0.000], [0.000, 10.206, 0.000], [0.000, 0.000, 11.822]], "species": ["S", "S", "S", "S", "S", "S", "S", "S", "S", "S", "S", "S", "S", "S", "S", "S", "Cs", "Cs", "Cs", "Cs", "Cs", "Cs", "Cs", "Cs", "Cs", "Cs", "Cs", "Cs", "Ta", "Ta", "Ta", "Ta"], "frac_coords": [[0.512, 0.074, 0.750], [0.332, 0.452, 0.910], [0.668, 0.548, 0.410], [0.205, 0.739, 0.750], [0.705, 0.761, 0.750], [0.832, 0.048, 0.910], [0.295, 0.239, 0.250], [0.012, 0.426, 0.750], [0.832, 0.048, 0.590], [0.668, 0.548, 0.090], [0.168, 0.952, 0.410], [0.988, 0.574, 0.250], [0.488, 0.926, 0.250], [0.168, 0.952, 0.090], [0.332, 0.452, 0.590], [0.795, 0.261, 0.250], [0.645, 0.421, 0.750], [0.145, 0.079, 0.750], [0.355, 0.579, 0.250], [0.050, 0.289, 0.458], [0.950, 0.711, 0.542], [0.550, 0.211, 0.042], [0.550, 0.211, 0.458], [0.950, 0.711, 0.958], [0.050, 0.289, 0.042], [0.450, 0.789, 0.542], [0.855, 0.921, 0.250], [0.450, 0.789, 0.958], [0.221, 0.514, 0.750], [0.721, 0.986, 0.750], [0.779, 0.486, 0.250], [0.279, 0.014, 0.250]], "crystal_system": "orthorhombic", "e_form_raw_kj_per_mol_atoms": -127.7}

---

[5]
{"formula": "CsTa2S4", "functional": "GGA-PBE", "state": "optimized geometry", "lattice_angstrom": [[-1.076, 3.445, 1.080], [-5.073, -2.661, -3.141], [-4.318, -4.812, 11.050]], "species": ["Ta", "Ta", "Ta", "Ta", "S", "S", "S", "S", "S", "S", "S", "S", "Cs", "Cs"], "frac_coords": [[0.119, 0.237, 0.436], [0.881, 0.763, 0.564], [0.119, 0.237, 0.064], [0.881, 0.763, 0.936], [0.907, 0.814, 0.750], [0.753, 0.506, 0.409], [0.247, 0.494, 0.909], [0.093, 0.186, 0.250], [0.247, 0.494, 0.591], [0.753, 0.506, 0.091], [0.500, 0.000, 0.500], [0.500, 0.000, 0.000], [0.615, 0.231, 0.750], [0.385, 0.769, 0.250]], "crystal_system": "orthorhombic", "e_form_raw_kj_per_mol_atoms": -78.0}

---

[6]
{"formula": "CsTaTe2S", "functional": "GGA-PBE", "state": "optimized geometry", "lattice_angstrom": [[5.670, 0.000, 0.000], [0.000, 4.812, 0.000], [0.000, 0.000, 5.670]], "species": ["Te", "Te", "Cs", "S", "Ta"], "frac_coords": [[0.000, 0.000, 0.500], [0.500, 0.000, 0.000], [0.500, 0.500, 0.500], [0.000, 0.500, 0.000], [0.000, 0.000, 0.000]], "crystal_system": "tetragonal", "e_form_raw_kj_per_mol_atoms": -53.9}

---

[7]
{"formula": "Cs3Tm3TaS8", "functional": "GGA-PBE", "state": "optimized geometry", "lattice_angstrom": [[-3.030, -6.492, 3.122], [5.967, -0.498, -5.024], [2.334, 3.027, 8.560]], "species": ["S", "S", "S", "S", "S", "S", "S", "S", "Cs", "Cs", "Cs", "Tm", "Tm", "Tm", "Ta"], "frac_coords": [[0.727, 0.454, 0.680], [0.786, 0.573, 0.328], [0.746, 0.959, 0.672], [0.214, 0.427, 0.672], [0.254, 0.041, 0.328], [0.273, 0.546, 0.320], [0.213, 0.959, 0.672], [0.787, 0.041, 0.328], [0.000, 0.500, 0.000], [0.500, 0.500, 0.000], [0.000, 0.000, 0.000], [0.000, 0.500, 0.500], [0.500, 0.500, 0.500], [0.500, 0.000, 0.500], [0.000, 0.000, 0.500]], "crystal_system": "trigonal", "e_form_raw_kj_per_mol_atoms": -157.9}

---

[8]
{"formula": "CsUTaS6", "functional": "GGA-PBE", "state": "optimized geometry", "lattice_angstrom": [[6.519, 0.000, 0.000], [3.259, 5.645, 0.000], [0.000, 0.000, 8.071]], "species": ["S", "S", "S", "S", "S", "S", "Ta", "U", "Cs"], "frac_coords": [[0.387, 0.988, 0.680], [0.387, 0.624, 0.320], [0.988, 0.387, 0.320], [0.624, 0.988, 0.320], [0.624, 0.387, 0.680], [0.988, 0.624, 0.680], [0.667, 0.667, 0.500], [0.333, 0.333, 0.500], [0.000, 0.000, 0.000]], "crystal_system": "trigonal", "e_form_raw_kj_per_mol_atoms": -109.7}

---

[9]
{"formula": "Cs2UTaS6", "functional": "GGA-PBE", "state": "optimized geometry", "lattice_angstrom": [[7.402, 0.000, 0.000], [3.701, 6.410, 0.000], [3.701, 2.137, 11.996]], "species": ["S", "S", "S", "S", "S", "S", "S", "S", "S", "S", "S", "S", "Cs", "Cs", "Cs", "Cs", "Ta", "Ta", "U", "U"], "frac_coords": [[0.390, 0.390, 0.374], [0.197, 0.723, 0.883], [0.723, 0.197, 0.883], [0.197, 0.197, 0.883], [0.390, 0.847, 0.374], [0.610, 0.153, 0.626], [0.277, 0.803, 0.117], [0.847, 0.390, 0.374], [0.153, 0.610, 0.626], [0.803, 0.277, 0.117], [0.610, 0.610, 0.626], [0.803, 0.803, 0.117], [0.128, 0.128, 0.616], [0.872, 0.872, 0.384], [0.288, 0.288, 0.135], [0.712, 0.712, 0.865], [0.000, 0.000, 0.000], [0.500, 0.500, 0.500], [0.410, 0.410, 0.769], [0.590, 0.590, 0.231]], "crystal_system": "trigonal", "e_form_raw_kj_per_mol_atoms": -119.1}

---

[10]
{"formula": "CsUTa2S8", "functional": "GGA-PBE", "state": "optimized geometry", "lattice_angstrom": [[-5.209, -2.893, -2.868], [0.813, -3.545, -5.523], [0.042, -10.219, 2.607]], "species": ["S", "S", "S", "S", "S", "S", "S", "S", "Ta", "Ta", "Cs", "U"], "frac_coords": [[0.185, 0.185, 0.444], [0.375, 0.730, 0.842], [0.270, 0.948, 0.158], [0.815, 0.815, 0.556], [0.625, 0.270, 0.158], [0.948, 0.625, 0.158], [0.730, 0.052, 0.842], [0.052, 0.375, 0.842], [0.260, 0.260, 0.220], [0.740, 0.740, 0.780], [0.500, 0.500, 0.500], [0.000, 0.000, 0.000]], "crystal_system": "trigonal", "e_form_raw_kj_per_mol_atoms": -95.5}

---

[11]
{"formula": "CsTbS4", "functional": "GGA-PBE", "state": "optimized geometry", "lattice_angstrom": [[6.002, 0.000, 0.000], [0.000, 6.002, 0.000], [0.000, 0.000, 8.697]], "species": ["Cs", "Cs", "Tb", "Tb", "S", "S", "S", "S", "S", "S", "S", "S"], "frac_coords": [[0.000, 0.000, 0.500], [0.500, 0.500, 0.500], [0.500, 0.500, 0.000], [0.000, 0.000, 0.000], [0.125, 0.625, 0.187], [0.375, 0.125, 0.187], [0.625, 0.875, 0.187], [0.375, 0.875, 0.813], [0.875, 0.375, 0.187], [0.625, 0.125, 0.813], [0.875, 0.625, 0.813], [0.125, 0.375, 0.813]], "crystal_system": "tetragonal", "e_form_raw_kj_per_mol_atoms": -117.3}

---

[12]
{"formula": "CsTb5S8", "functional": "GGA-PBE", "state": "optimized geometry", "lattice_angstrom": [[3.956, 0.000, -0.774], [-0.483, 9.511, -2.471], [-0.003, 0.065, 10.487]], "species": ["Tb", "Tb", "Tb", "Tb", "Tb", "S", "S", "S", "S", "S", "S", "S", "S", "Cs"], "frac_coords": [[0.000, 0.000, 0.000], [0.656, 0.948, 0.313], [0.703, 0.338, 0.406], [0.297, 0.662, 0.594], [0.344, 0.052, 0.687], [0.919, 0.187, 0.837], [0.081, 0.814, 0.163], [0.579, 0.141, 0.159], [0.772, 0.856, 0.544], [0.228, 0.144, 0.456], [0.829, 0.510, 0.657], [0.421, 0.859, 0.841], [0.171, 0.490, 0.343], [0.500, 0.500, 0.000]], "crystal_system": "monoclinic", "e_form_raw_kj_per_mol_atoms": -194.6}